An optimized crystal structure of Sn6PdPt8, computed with PBE.

```
15
Lattice="3.8971 2.2500 5.6704 -3.8971 2.2500 5.6704 0.0000 -4.4999 5.6704" Properties=species:S:1:pos:R:3 pbc="T T T"
Sn -1.2473 -2.2828 7.3957
Sn -2.6006 -0.0612 9.6155
Sn -1.3533 2.2216 7.3957
Sn 1.3533 -2.2216 9.6155
Sn 2.6006 0.0612 7.3957
Sn 1.2473 2.2828 9.6155
Pd 0.0000 0.0000 0.0000
Pt -2.5974 -0.0584 6.8653
Pt -1.2481 -2.2787 10.1458
Pt 0.0000 0.0000 5.7013
Pt 1.3493 -2.2202 6.8653
Pt -1.3493 2.2202 10.1458
Pt 0.0000 0.0000 11.3098
Pt 1.2481 2.2787 6.8653
Pt 2.5974 0.0584 10.1459
```

Summary:
DOS at the Fermi energy (states/eV/cell): 6.35
Space-group type: R-3
M_tot (μB/f.u.): 0.000
VASP energy (eV/atom): -5.6050


An optimized crystal structure of Sn2Pd2Pt, computed with PBE.

```
10
Lattice="2.1830 -7.3744 0.0000 2.1830 7.3744 0.0000 0.0000 0.0000 5.6683" Properties=species:S:1:pos:R:3 pbc="T T T"
Sn 2.1830 6.5242 2.8342
Sn 2.1830 3.2037 3.7859
Sn 2.1830 -3.2037 0.9518
Sn 2.1830 -6.5242 0.0000
Pd 2.1830 2.3968 0.7707
Pd 2.1830 0.4904 4.0101
Pd 2.1830 -0.4904 1.1760
Pd 2.1830 -2.3968 3.6048
Pt 2.1830 5.3675 5.5418
Pt 2.1830 -5.3675 2.7077
```

Summary:
DOS at the Fermi energy (states/eV/cell): 5.09
Space-group type: Cmc2_1
M_tot (μB/f.u.): 0.000
VASP energy (eV/atom): -5.3798


An optimized crystal structure of SnPd4Pt3, computed with PBE.

```
8
Lattice="4.4431 -2.0168 0.0000 4.4431 2.0168 0.0000 -3.6186 0.0000 7.1337" Properties=species:S:1:pos:R:3 pbc="T T T"
Sn 0.0000 0.0000 0.0000
Pd 0.8576 0.0000 2.6751
Pd -0.9475 0.0000 6.2281
Pd 6.2150 0.0000 0.9056
Pd 4.4099 0.0000 4.4586
Pt -1.8093 0.0000 3.5669
Pt 3.5277 0.0000 1.8089
Pt 1.7398 0.0000 5.3248
```

Summary:
DOS at the Fermi energy (states/eV/cell): 9.55
Space-group type: C2/m
M_tot (μB/f.u.): 0.000
VASP energy (eV/atom): -5.6011


An optimized crystal structure of Sn2Pd3Pt, computed with PBE.

```
12
Lattice="-2.8342 6.8018 2.8321 2.8342 -6.8018 2.8321 2.8342 6.8018 -2.8321" Properties=species:S:1:pos:R:3 pbc="T T T"
Sn 1.4080 1.8650 0.0000
Sn 1.4080 -1.8650 2.8321
Sn 1.4262 8.6667 0.0000
Sn 1.4262 4.9368 2.8321
Pd 4.2308 2.2987 0.0000
Pd 2.8342 0.0000 1.4161
Pd 1.3966 4.5031 0.0000
Pd 1.4376 2.2987 2.8321
Pd 0.0000 6.8018 1.4161
Pd -1.3966 4.5031 2.8321
Pt 0.0000 0.0000 1.4161
Pt 0.0000 0.0000 4.2482
```

Summary:
DOS at the Fermi energy (states/eV/cell): 4.09
Space-group type: Ibam
M_tot (μB/f.u.): 0.000
VASP energy (eV/atom): -5.4182


An optimized crystal structure of Sn5Pd5Pt2, computed with PBE.

```
12
Lattice="7.4872 -1.9391 0.0000 7.4872 1.9391 0.0000 -3.3998 0.0000 8.0494" Properties=species:S:1:pos:R:3 pbc="T T T"
Sn 0.0000 0.0000 0.0000
Sn 0.0952 0.0000 3.3397
Sn 3.3036 0.0000 1.4895
Sn 8.2710 0.0000 6.5599
Sn 11.4794 0.0000 4.7097
Pd 2.1162 0.0000 5.1469
Pd 2.1897 0.0000 8.0214
Pd 5.7873 0.0000 4.0247
Pd 9.3849 0.0000 0.0279
Pd 9.4585 0.0000 2.9025
Pt -1.0841 0.0000 5.9749
Pt 12.6587 0.0000 2.0744
```

Summary:
DOS at the Fermi energy (states/eV/cell): 4.40
Space-group type: C2/m
M_tot (μB/f.u.): 0.000
VASP energy (eV/atom): -5.2365


An optimized crystal structure of SnPd2Pt5, computed with PBE.

```
16
Lattice="5.6676 0.0000 0.0000 0.0000 11.2445 0.0000 0.0000 0.0000 4.0295" Properties=species:S:1:pos:R:3 pbc="T T T"
Sn 0.0000 0.0000 0.0000
Sn 2.8338 5.6223 0.0000
Pd 1.3514 1.3747 2.0147
Pd 1.4823 6.9970 2.0147
Pd 4.1852 4.2476 2.0147
Pd 4.3161 9.8698 2.0147
Pt 0.0000 5.6223 0.0000
Pt 0.0832 8.4576 0.0000
Pt 1.3316 4.1785 2.0147
Pt 1.5022 9.8008 2.0147
Pt 2.7506 2.8353 0.0000
Pt 2.8338 0.0000 0.0000
Pt 2.9170 8.4092 0.0000
Pt 4.1654 1.4437 2.0147
Pt 4.3359 7.0660 2.0147
Pt 5.5843 2.7869 0.0000
```

Summary:
DOS at the Fermi energy (states/eV/cell): 22.47
Space-group type: Pbam
M_tot (μB/f.u.): 0.000
VASP energy (eV/atom): -5.8020


An optimized crystal structure of Sn4Pd5Pt2, computed with PBE.

```
11
Lattice="-1.5557 4.1983 8.2930 1.5557 -4.1983 8.2930 1.5557 4.1983 -8.2930" Properties=species:S:1:pos:R:3 pbc="T T T"
Sn 1.5557 1.9193 0.0000
Sn 0.0000 0.0000 4.0909
Sn 0.0000 0.0000 12.4950
Sn 0.0000 2.2790 8.2930
Pd 1.5557 1.9718 -2.8322
Pd 1.5557 1.9718 2.8322
Pd 0.0000 4.1983 0.0000
Pd 0.0000 2.2265 5.4607
Pd 0.0000 2.2265 11.1252
Pt 0.0000 0.0000 1.4053
Pt 0.0000 0.0000 15.1806
```

Summary:
DOS at the Fermi energy (states/eV/cell): 5.29
Space-group type: Immm
M_tot (μB/f.u.): 0.000
VASP energy (eV/atom): -5.2129


An optimized crystal structure of Sn2Pd3Pt3, computed with PBE.

```
8
Lattice="4.0498 0.0000 0.0000 0.0000 4.0507 0.0000 0.0000 0.0000 8.0808" Properties=species:S:1:pos:R:3 pbc="T T T"
Sn 0.0000 0.0000 2.0083
Sn 0.0000 0.0000 6.0725
Pd 0.0000 2.0253 0.0000
Pd 2.0249 2.0253 2.0211
Pd 2.0249 2.0253 6.0597
Pt 0.0000 2.0253 4.0404
Pt 2.0249 0.0000 0.0000
Pt 2.0249 0.0000 4.0404
```

Summary:
DOS at the Fermi energy (states/eV/cell): 2.15
Space-group type: Pmmm
M_tot (μB/f.u.): 0.000
VASP energy (eV/atom): -5.6820